Material: Na3VSO3
Method: DFT, PBE+U
State: optimized geometry

The structure belongs to space group R3c (No. 161, hexagonal axes); the cell edges are 8.6761, 8.6761 and 12.3316 Å and the angles 90.00°, 90.00° and 120.00°. The asymmetric unit holds Na at (0.0004, 0.3067, 0.0000), V at (0.0000, 0.0000, 0.2184), S at (0.0000, 0.0000, 0.4006) and O at (0.0053, 0.1918, 0.1749).

For the spin magnetization, the calculation gives 0.0 μB per formula unit. The value obtained for the total energy is -263.24 eV per cell.